Here is crystalline MgTc2Pt at its relaxed geometry from Alexandria via LeMat-Bulk. Energies are from GGA-PBE.

Properties
The value obtained for the energy of formation is 0.44 eV per formula unit.

Cell: 2.6964 2.6964 8.5332 Å, 90.00 90.00 90.00°
Space group P4/mmm (No. 123)
One atom of each set of equivalent atoms:
Mg  0.0000  0.0000  0.0000
Tc  0.5000  0.5000  0.2589
Pt  0.0000  0.0000  0.5000

---

Here is crystalline RbCd12Sn6 at its relaxed geometry from Alexandria via LeMat-Bulk. Energies are from GGA-PBE.

Properties
The value obtained for the energy of formation is 0.56 eV per formula unit.

Cell: 13.8775 13.8775 9.5395 Å, 90.00 90.00 120.00°
Space group R-3m (No. 166, hexagonal axes)
One atom of each set of equivalent atoms:
Rb  0.0000  0.0000  0.0000
Cd  0.0000  0.3983  0.5000
Cd  0.0723  0.1446  0.3400
Sn  0.0070  0.5035  0.2106

---

Here is crystalline VPd2Rh2 at its relaxed geometry from Alexandria via LeMat-Bulk. Energies are from GGA-PBE.

Properties
The value obtained for the energy of formation is -0.83 eV per formula unit.

Cell: 8.5521 3.8567 6.0648 Å, 90.00 133.97 90.00°
Space group C2/m (No. 12)
One atom of each set of equivalent atoms:
V  0.0000  0.0000  0.0000
Pd  0.2011  0.0000  0.5997
Rh  0.1050  0.5000  0.8105

---

Here is crystalline Rb2Tl2Hg at its relaxed geometry from Alexandria via LeMat-Bulk. Energies are from GGA-PBE.

Properties
The value obtained for the energy of formation is 0.08 eV per formula unit.

Cell: 7.3501 7.3501 9.0471 Å, 90.00 90.00 90.00°
Space group I4/mmm (No. 139)
One atom of each set of equivalent atoms:
Rb  0.0000  0.5000  0.2500
Tl  0.0000  0.0000  0.1615
Hg  0.0000  0.0000  0.5000

---

Here is crystalline AcTmTlIn at its relaxed geometry from Alexandria via LeMat-Bulk. Energies are from GGA-PBE.

Properties
The value obtained for the energy of formation is -1.35 eV per formula unit.

Cell: 7.8865 7.8865 7.8865 Å, 90.00 90.00 90.00°
Space group F-43m (No. 216)
One atom of each set of equivalent atoms:
Ac  0.0000  0.0000  0.0000
Tm  0.0000  0.0000  0.5000
Tl  0.2500  0.2500  0.2500
In  0.2500  0.2500  0.7500

---

Here is crystalline RbGa2Ge at its relaxed geometry from Alexandria via LeMat-Bulk. Energies are from GGA-PBE.

Properties
The value obtained for the energy of formation is 0.63 eV per formula unit.

Cell: 4.2758 4.2758 27.0077 Å, 90.00 90.00 120.00°
Space group R-3m (No. 166, hexagonal axes)
One atom of each set of equivalent atoms:
Rb  0.0000  0.0000  0.0000
Ga  0.0000  0.0000  0.1278
Ge  0.0000  0.0000  0.5000

---

Here is crystalline Ba2SrCa2 at its relaxed geometry from Alexandria via LeMat-Bulk. Energies are from GGA-PBE.

Properties
The value obtained for the energy of formation is 1.53 eV per formula unit.

Cell: 12.9371 12.9371 6.9984 Å, 90.00 90.00 90.00°
Space group I-42d (No. 122)
One atom of each set of equivalent atoms:
Ba  0.1702  0.2500  0.1250
Sr  0.0000  0.0000  0.0000
Ca  0.0153  0.2500  0.6250

---

Here is crystalline NdNp2Pt9 at its relaxed geometry from Alexandria via LeMat-Bulk. Energies are from GGA-PBE.

Properties
The value obtained for the energy of formation is -8.29 eV per formula unit.

Cell: 5.4119 5.4119 26.7153 Å, 90.00 90.00 120.00°
Space group R-3m (No. 166, hexagonal axes)
One atom of each set of equivalent atoms:
Nd  0.0000  0.0000  0.0000
Np  0.0000  0.0000  0.1428
Pt  0.0000  0.0000  0.3328
Pt  0.0000  0.0000  0.5000
Pt  0.0038  0.5019  0.9145

---

Here is crystalline NdSn2Te4 at its relaxed geometry from Alexandria via LeMat-Bulk. Energies are from GGA-PBE.

Properties
For the uncorrected formation energy, the calculation gives -418 kJ/mol of formula units.

Cell: 4.3951 14.6840 14.6005 Å, 90.00 90.00 90.00°
Space group Cmcm (No. 63)
One atom of each set of equivalent atoms:
Nd  0.0000  0.1028  0.2500
Sn  0.0000  0.3645  0.0604
Te  0.0000  0.0000  0.0000
Te  0.0000  0.2809  0.6313
Te  0.0000  0.4486  0.2500

---

Here is crystalline HoH7Pd5 at its relaxed geometry from Alexandria via LeMat-Bulk. Energies are from GGA-PBE.

Properties
The value obtained for the total energy is -4.450 eV per atom.

Cell: 5.1229 5.1481 5.3644 Å, 61.92 89.78 88.88°
Space group P1 (No. 1)
One atom of each set of equivalent atoms:
Ho  0.0000  0.0000  0.0000
H  0.1559  0.5627  0.0105
H  0.1680  0.4001  0.5972
H  0.1787  0.9890  0.4053
H  0.4624  0.9884  0.9905
H  0.6911  0.5822  0.3120
H  0.7099  0.4441  0.8385
H  0.7650  0.0242  0.5814
Pd  0.5110  0.6241  0.0043
Pd  0.5146  0.2983  0.6475
Pd  0.5176  0.9478  0.3432
Pd  0.9872  0.3234  0.3391
Pd  0.9895  0.6729  0.6629

---

Here is crystalline Sm4Tm3Sc at its relaxed geometry from Alexandria via LeMat-Bulk. Energies are from GGA-PBE.

Properties
The value obtained for the energy of formation is 0.26 eV per formula unit.

Cell: 11.2579 7.2080 6.2086 Å, 90.00 90.00 90.00°
Space group Pmn2_1 (No. 31)
One atom of each set of equivalent atoms:
Sm  0.0000  0.1293  0.0000
Sm  0.0000  0.8696  0.5137
Sm  0.2442  0.1305  0.3462
Tm  0.0000  0.6205  0.0095
Tm  0.2494  0.6192  0.3398
Sc  0.0000  0.3829  0.5074

---

Here is crystalline PrTlZnPt at its relaxed geometry from Alexandria via LeMat-Bulk. Energies are from GGA-PBE.

Properties
The value obtained for the energy of formation is -1.83 eV per formula unit.

Cell: 7.0650 7.0650 7.0650 Å, 90.00 90.00 90.00°
Space group F-43m (No. 216)
One atom of each set of equivalent atoms:
Pr  0.0000  0.0000  0.0000
Tl  0.0000  0.0000  0.5000
Zn  0.2500  0.2500  0.2500
Pt  0.2500  0.2500  0.7500

---

Here is crystalline HgPtW2 at its relaxed geometry from Alexandria via LeMat-Bulk. Energies are from GGA-PBE.

Properties
The value obtained for the energy of formation is 0.97 eV per formula unit.

Cell: 2.7924 2.7924 8.7841 Å, 90.00 90.00 90.00°
Space group P4mm (No. 99)
One atom of each set of equivalent atoms:
Hg  0.0000  0.0000  0.0000
Pt  0.5000  0.5000  0.2672
W  0.0000  0.0000  0.4815
W  0.5000  0.5000  0.7316

---

Here is crystalline TmThC2 at its relaxed geometry from Alexandria via LeMat-Bulk. Energies are from GGA-PBE.

Properties
The value obtained for the energy of formation is 2.46 eV per formula unit.

Cell: 3.9367 3.9367 20.0056 Å, 90.00 90.00 120.00°
Space group R-3m (No. 166, hexagonal axes)
One atom of each set of equivalent atoms:
Tm  0.0000  0.0000  0.0000
Th  0.0000  0.0000  0.5000
C  0.0000  0.0000  0.1100

---

Here is crystalline Tl3Te2Se6 at its relaxed geometry from Alexandria via LeMat-Bulk. Energies are from GGA-PBE.

Properties
For the uncorrected formation energy, the calculation gives -70 kJ/mol of formula units.

Cell: 5.3970 5.3970 25.7398 Å, 90.00 90.00 90.00°
Space group I4/mmm (No. 139)
One atom of each set of equivalent atoms:
Tl  0.0000  0.0000  0.0000
Tl  0.0000  0.0000  0.1636
Te  0.0000  0.0000  0.3889
Se  0.0000  0.0000  0.2938
Se  0.0000  0.5000  0.0844

---

Here is crystalline Ce3GaAs at its relaxed geometry from Alexandria via LeMat-Bulk. Energies are from GGA-PBE.

Properties
The value obtained for the energy of formation is -3.22 eV per formula unit.

Cell: 7.4807 4.6137 7.6131 Å, 90.00 104.59 90.00°
Space group P2_1/m (No. 11)
One atom of each set of equivalent atoms:
Ce  0.0118  0.2500  0.2558
Ce  0.3923  0.7500  0.5014
Ce  0.4560  0.2500  0.1267
Ga  0.2505  0.2500  0.6889
As  0.2043  0.7500  0.1165

---

Here is crystalline ZrPa3 at its relaxed geometry from Alexandria via LeMat-Bulk. Energies are from GGA-PBE.

Properties
The value obtained for the energy of formation is 0.21 eV per formula unit.

Cell: 12.1959 3.2143 5.5777 Å, 90.00 117.12 90.00°
Space group C2/m (No. 12)
One atom of each set of equivalent atoms:
Zr  0.0000  0.0000  0.0000
Pa  0.0000  0.5000  0.5000
Pa  0.2433  0.0000  0.7436

---

Here is crystalline CrTcCl2 at its relaxed geometry from Alexandria via LeMat-Bulk. Energies are from GGA-PBE.

Properties
For the uncorrected formation energy, the calculation gives 199 kJ/mol of formula units.

Cell: 3.6472 3.6472 10.9490 Å, 90.00 90.00 90.00°
Space group I-4m2 (No. 119)
One atom of each set of equivalent atoms:
Cr  0.0000  0.0000  0.0000
Tc  0.0000  0.5000  0.2500
Cl  0.0000  0.0000  0.5000
Cl  0.0000  0.5000  0.7500

---

Here is crystalline K3Tl4Pd4 at its relaxed geometry from Alexandria via LeMat-Bulk. Energies are from GGA-PBE.

Properties
The value obtained for the energy of formation is -2.32 eV per formula unit.

Cell: 8.5067 8.5067 8.5067 Å, 90.00 90.00 90.00°
Space group I-43m (No. 217)
One atom of each set of equivalent atoms:
K  0.0000  0.0000  0.5000
Tl  0.1982  0.1982  0.1982
Pd  0.1187  0.1187  0.8813

---

Here is crystalline Mg2BO2 at its relaxed geometry from Alexandria via LeMat-Bulk. Energies are from GGA-PBE.

Properties
For the uncorrected formation energy, the calculation gives -356 kJ/mol of formula units.

Cell: 3.9287 3.9287 9.6915 Å, 90.00 90.00 90.00°
Space group I4/mmm (No. 139)
One atom of each set of equivalent atoms:
Mg  0.0000  0.0000  0.2090
B  0.0000  0.0000  0.5000
O  0.0000  0.5000  0.2500